Arrangement one

Computed, not measured: a geometry-optimized CdCoTeO structure at the GGA+U level of DFT.

Total moment   3.0 μB/f.u.

a = 6.753 Å, b = 7.717 Å, c = 6.538 Å
α = 90.00°, β = 90.00°, γ = 90.00°
Sites, in units of the cell vectors:
Cd 0.113 0.094 0.000
Cd 0.387 0.094 0.500
Cd 0.613 0.906 0.000
Cd 0.887 0.906 0.500
Co 0.036 0.674 0.101
Co 0.464 0.674 0.601
Co 0.536 0.326 0.101
Co 0.964 0.326 0.601
Te 0.088 0.640 0.706
Te 0.412 0.640 0.206
Te 0.588 0.360 0.706
Te 0.912 0.360 0.206
O 0.087 0.108 0.657
O 0.413 0.108 0.157
O 0.587 0.892 0.657
O 0.913 0.892 0.157

=====

Arrangement two

Computed, not measured: a geometry-optimized CdCoTeO structure at the GGA+U level of DFT.

Total moment   2.0 μB/f.u.

a = 3.929 Å, b = 3.929 Å, c = 10.921 Å
α = 90.00°, β = 90.00°, γ = 90.00°
Sites, in units of the cell vectors:
Cd 0.250 0.250 0.091
Cd 0.750 0.750 0.909
Co 0.250 0.250 0.592
Co 0.750 0.750 0.408
Te 0.250 0.250 0.351
Te 0.750 0.750 0.649
O 0.250 0.750 0.000
O 0.750 0.250 0.000

=====

Arrangement three

Computed, not measured: a geometry-optimized CdCoTeO structure at the GGA+U level of DFT.

Total moment   3.0 μB/f.u.

a = 6.251 Å, b = 7.423 Å, c = 7.869 Å
α = 90.00°, β = 90.00°, γ = 90.00°
Sites, in units of the cell vectors:
Cd 0.008 0.156 0.073
Cd 0.492 0.844 0.573
Cd 0.508 0.344 0.927
Cd 0.992 0.656 0.427
Co 0.002 0.566 0.886
Co 0.498 0.434 0.386
Co 0.502 0.934 0.114
Co 0.998 0.066 0.614
Te 0.215 0.874 0.858
Te 0.285 0.126 0.358
Te 0.715 0.626 0.142
Te 0.785 0.374 0.642
O 0.178 0.389 0.969
O 0.322 0.611 0.469
O 0.678 0.111 0.031
O 0.822 0.889 0.531

=====

The relative energies come out as arrangement one 0.0; arrangement two 30.2; arrangement three 6.3, with values in kJ/mol of atoms.

=====

Arrangement one

Computed, not measured: a geometry-optimized CdCoTeO structure at the GGA+U level of DFT.

Total moment   2.9 μB/f.u.

a = 4.040 Å, b = 4.040 Å, c = 9.883 Å
α = 90.00°, β = 90.00°, γ = 90.00°
Sites, in units of the cell vectors:
Cd 0.250 0.250 0.125
Cd 0.750 0.750 0.875
Co 0.250 0.250 0.535
Co 0.750 0.750 0.465
Te 0.250 0.250 0.815
Te 0.750 0.750 0.185
O 0.250 0.750 0.500
O 0.750 0.250 0.500

=====

Arrangement two

Computed, not measured: a geometry-optimized CdCoTeO structure at the GGA+U level of DFT.

Total moment   0.6 μB/f.u.

a = 6.726 Å, b = 3.517 Å, c = 13.478 Å
α = 90.00°, β = 90.00°, γ = 90.00°
Sites, in units of the cell vectors:
Cd 0.076 0.250 0.212
Cd 0.424 0.750 0.712
Cd 0.576 0.250 0.288
Cd 0.924 0.750 0.788
Co 0.216 0.750 0.417
Co 0.284 0.250 0.917
Co 0.716 0.750 0.083
Co 0.784 0.250 0.583
Te 0.195 0.250 0.577
Te 0.305 0.750 0.077
Te 0.695 0.250 0.923
Te 0.805 0.750 0.423
O 0.229 0.750 0.843
O 0.271 0.250 0.343
O 0.729 0.750 0.657
O 0.771 0.250 0.157

=====

Arrangement three

Computed, not measured: a geometry-optimized CdCoTeO structure at the GGA+U level of DFT.

Total moment   2.1 μB/f.u.

a = 3.415 Å, b = 3.415 Å, c = 12.218 Å
α = 90.00°, β = 90.00°, γ = 90.00°
Sites, in units of the cell vectors:
Cd 0.250 0.250 0.095
Cd 0.750 0.750 0.905
Co 0.250 0.750 0.500
Co 0.750 0.250 0.500
Te 0.250 0.250 0.662
Te 0.750 0.750 0.338
O 0.250 0.250 0.906
O 0.750 0.750 0.094

=====

Arrangement four

Computed, not measured: a geometry-optimized CdCoTeO structure at the GGA+U level of DFT.

Total moment   1.6 μB/f.u.

a = 4.085 Å, b = 4.085 Å, c = 8.454 Å
α = 90.00°, β = 90.00°, γ = 90.00°
Sites, in units of the cell vectors:
Cd 0.250 0.750 0.000
Cd 0.750 0.250 0.000
Co 0.250 0.250 0.235
Co 0.750 0.750 0.765
Te 0.250 0.250 0.687
Te 0.750 0.750 0.313
O 0.250 0.250 0.464
O 0.750 0.750 0.536

=====

The relative energies come out as arrangement one 0.0; arrangement two 32.0; arrangement three 23.9; arrangement four 44.1, with values in kJ/mol of atoms.